Entry 1:
Entry from the Alexandria database: a relaxed structure of Cd2AgB2 (PBE).

Results
Excess energy over the best structure of this formula in the dataset (meV/atom): 528
Energy of formation from the pure elements (eV per atom): 1.235
Uncorrected energy (eV/atom): -2.37
Total magnetization (μB/f.u.): 0.00

abc: 7.4253 7.4253 2.8791
angles: 90.00 90.00 90.00
Last column: nearest neighbours and their distance in Å.
Positions (direct):
Cd 0.1401 0.3599 0.0000  6 B 2.52-2.68
Cd 0.3599 0.8599 0.0000  6 B 2.52-2.68
Cd 0.6401 0.1401 0.0000  6 B 2.52-2.68
Cd 0.8599 0.6401 0.0000  6 B 2.52-2.68
Ag 0.0000 0.0000 0.0000  4 Cd 2.87, 2 Ag 2.88, 8 B 3.13
Ag 0.5000 0.5000 0.0000  4 Cd 2.87, 2 Ag 2.88, 8 B 3.13
B 0.1632 0.6632 0.5000  6 Cd 2.52-2.68
B 0.3368 0.1632 0.5000  6 Cd 2.52-2.68
B 0.6632 0.8368 0.5000  6 Cd 2.52-2.68
B 0.8368 0.3368 0.5000  6 Cd 2.52-2.68


Entry 2:
Entry from the Alexandria database: a relaxed structure of Al2Zn3Ag7 (PBE).

Results
Energy of formation from the pure elements (eV per atom): -0.001
Uncorrected energy (eV/atom): -2.61
Total magnetization (μB/f.u.): 0.00

abc: 4.6162 5.0537 9.6177
angles: 84.91 78.00 70.52
Last column: nearest neighbours and their distance in Å.
Positions (direct):
Al 0.2169 0.3488 0.2086  2 Zn 2.68-2.85, 7 Ag 2.69-2.84
Al 0.7831 0.6512 0.7914  2 Zn 2.68-2.85, 7 Ag 2.69-2.84
Zn 0.0000 0.5000 0.5000  8 Ag 2.64-2.86, 2 Al 2.85
Zn 0.4065 0.1557 0.8871  1 Al 2.68, 1 Zn 2.68, 7 Ag 2.70-2.86
Zn 0.5935 0.8443 0.1129  1 Al 2.68, 1 Zn 2.68, 7 Ag 2.70-2.86
Ag 0.0151 0.9041 0.2735  2 Al 2.69-2.73, 3 Zn 2.73-2.86, 4 Ag 2.81-3.01
Ag 0.1960 0.7001 0.9623  4 Zn 2.70-2.86, 3 Al 2.81-2.84, 1 Ag 2.98
Ag 0.4033 0.5063 0.6567  3 Zn 2.64-2.84, 2 Al 2.69-2.76, 2 Ag 2.91-2.94
Ag 0.5000 0.0000 0.5000  2 Zn 2.80, 6 Ag 2.81-2.94
Ag 0.5967 0.4937 0.3433  3 Zn 2.64-2.84, 2 Al 2.69-2.76, 2 Ag 2.91-2.94
Ag 0.8040 0.2999 0.0377  4 Zn 2.70-2.86, 3 Al 2.81-2.84, 1 Ag 2.98
Ag 0.9849 0.0959 0.7265  2 Al 2.69-2.73, 3 Zn 2.73-2.86, 4 Ag 2.81-3.01


Entry 3:
Entry from the Alexandria database: a relaxed structure of NbPdAu2 (PBE).

Results
Excess energy over the best structure of this formula in the dataset (meV/atom): 88
Energy of formation from the pure elements (eV per atom): -0.052
Uncorrected energy (eV/atom): -5.51
Total magnetization (μB/f.u.): 0.00

abc: 9.5141 9.5141 9.5141
angles: 17.68 17.68 17.68
Last column: nearest neighbours and their distance in Å.
Positions (direct):
Nb 0.0000 0.0000 0.0000  6 Au 2.91, 6 Nb 2.92
Pd 0.5000 0.5000 0.5000  6 Au 2.87, 6 Pd 2.92
Au 0.2491 0.2491 0.2491  3 Pd 2.87, 3 Nb 2.91, 6 Au 2.92
Au 0.7509 0.7509 0.7509  3 Pd 2.87, 3 Nb 2.91, 6 Au 2.92


Entry 4:
Entry from the Alexandria database: a relaxed structure of KV2NiSe8 (PBE).

Results
Uncorrected energy (eV/atom): -4.77
Raw formation energy (eV per atom): -0.357
Total magnetization (μB/f.u.): 0.00

abc: 10.3338 10.3338 10.3338
angles: 34.75 34.75 34.75
Last column: nearest neighbours and their distance in Å.
Positions (direct):
K 0.0000 0.0000 0.0000  12 Se 3.59-3.96
V 0.2399 0.2399 0.2399  4 Se 2.27-2.30
V 0.7601 0.7601 0.7601  4 Se 2.27-2.30
Ni 0.5000 0.5000 0.5000  6 Se 2.42
Se 0.1452 0.4322 0.7724  1 V 2.30, 1 Ni 2.42
Se 0.2276 0.8548 0.5678  1 V 2.30, 1 Ni 2.42
Se 0.3180 0.3180 0.3180  1 V 2.27
Se 0.4322 0.7724 0.1452  1 V 2.30, 1 Ni 2.42
Se 0.5678 0.2276 0.8548  1 V 2.30, 1 Ni 2.42
Se 0.6820 0.6820 0.6820  1 V 2.27
Se 0.7724 0.1452 0.4322  1 V 2.30, 1 Ni 2.42
Se 0.8548 0.5678 0.2276  1 V 2.30, 1 Ni 2.42


Entry 5:
Entry from the Alexandria database: a relaxed structure of Tb2Er7Mg2 (PBE).

Results
Excess energy over the best structure of this formula in the dataset (meV/atom): 0
Energy of formation from the pure elements (eV per atom): 0.175
Uncorrected energy (eV/atom): -3.86
Total magnetization (μB/f.u.): 0.00

abc: 8.0523 8.0523 5.5995
angles: 105.51 105.51 87.23
Last column: nearest neighbours and their distance in Å.
Positions (direct):
Tb 0.2213 0.7787 0.0000  8 Er 3.31-3.65, 2 Mg 3.44
Tb 0.7787 0.2213 0.0000  8 Er 3.31-3.65, 2 Mg 3.44
Er 0.0000 0.0000 0.5000  4 Er 3.10
Er 0.0188 0.6023 0.3163  2 Er 3.04-3.10, 1 Tb 3.31
Er 0.2211 0.2211 0.1640  1 Mg 3.17, 4 Er 3.42-3.46, 2 Tb 3.43
Er 0.3977 0.9812 0.6837  2 Er 3.04-3.10, 1 Tb 3.31
Er 0.6023 0.0188 0.3163  2 Er 3.04-3.10, 1 Tb 3.31
Er 0.7789 0.7789 0.8360  1 Mg 3.17, 4 Er 3.42-3.46, 2 Tb 3.43
Er 0.9812 0.3977 0.6837  2 Er 3.04-3.10, 1 Tb 3.31
Mg 0.4351 0.4351 0.7145  2 Mg 2.99-3.28, 1 Er 3.17
Mg 0.5649 0.5649 0.2855  2 Mg 2.99-3.28, 1 Er 3.17


Entry 6:
Entry from the Alexandria database: a relaxed structure of Mg2TlSn (PBE).

Results
Energy of formation from the pure elements (eV per atom): -0.083
Uncorrected energy (eV/atom): -2.47
Total magnetization (μB/f.u.): 0.00

abc: 4.8845 4.8845 4.1080
angles: 90.00 90.00 90.00
Last column: nearest neighbours and their distance in Å.
Positions (direct):
Mg 0.0000 0.5000 0.0000  4 Tl 3.19, 4 Sn 3.19, 4 Mg 3.45
Mg 0.5000 0.0000 0.0000  4 Tl 3.19, 4 Sn 3.19, 4 Mg 3.45
Tl 0.0000 0.0000 0.5000  8 Mg 3.19, 4 Sn 3.45
Sn 0.5000 0.5000 0.5000  8 Mg 3.19, 4 Tl 3.45